Crystalline Cu5NiPd12 at its relaxed geometry. Source: Alexandria via LeMat-Bulk, functional GGA-PBE.

Output
Final energy (Ry/atom): -0.365
Energy relative to the elements (eV per atom): -0.043

a = 8.1300 Å, b = 8.1300 Å, c = 4.6704 Å
α = 105.07°, β = 105.07°, γ = 61.52°
Fractional coordinates of all 18 atoms:
1 Cu 0.0000 0.0000 0.0000
2 Cu 0.1670 0.1670 0.5010
3 Cu 0.3330 0.3330 0.9994
4 Cu 0.6670 0.6670 0.0006
5 Cu 0.8330 0.8330 0.4990
6 Ni 0.5000 0.5000 0.5000
7 Pd 0.0043 0.3290 0.0008
8 Pd 0.1624 0.8376 0.5000
9 Pd 0.1719 0.4959 0.4992
10 Pd 0.3290 0.0043 0.0008
11 Pd 0.3390 0.6610 0.0000
12 Pd 0.4959 0.1719 0.4992
13 Pd 0.5041 0.8281 0.5008
14 Pd 0.6610 0.3390 0.0000
15 Pd 0.6710 0.9957 0.9992
16 Pd 0.8281 0.5041 0.5008
17 Pd 0.8376 0.1624 0.5000
18 Pd 0.9957 0.6710 0.9992